[1]
This record from the Alexandria database describes an optimized crystal structure of PaFe10B2. The functional is PBE-GGA.

Summary:
Energy of formation   -10.4 kJ per mole of atoms

Cell lengths 6.1593, 6.1593, 7.7836 Å; angles 90.00, 90.00, 97.75 degrees
Closest atoms and distances in Å follow each position.
Positions (direct):
Pa 0.1088 0.8912 0.7500  14 Fe 2.73-2.96
Pa 0.8912 0.1088 0.2500  14 Fe 2.73-2.96
Fe 0.1097 0.4102 0.7500  2 B 2.16, 5 Fe 2.39-2.41
Fe 0.1706 0.8294 0.0927  2 B 2.27, 6 Fe 2.39-2.53
Fe 0.1706 0.8294 0.4073  2 B 2.27, 6 Fe 2.39-2.53
Fe 0.2263 0.2263 0.0000  2 B 2.33, 8 Fe 2.41-2.53
Fe 0.2263 0.2263 0.5000  2 B 2.33, 8 Fe 2.41-2.53
Fe 0.2427 0.4668 0.2500  5 Fe 2.35-2.55, 2 B 2.48
Fe 0.3870 0.6130 0.5742  6 Fe 2.39-2.52, 2 B 2.46
Fe 0.3870 0.6130 0.9258  6 Fe 2.39-2.52, 2 B 2.46
Fe 0.4102 0.1097 0.2500  2 B 2.16, 5 Fe 2.39-2.41
Fe 0.4668 0.2427 0.7500  5 Fe 2.35-2.55, 2 B 2.48
Fe 0.5332 0.7573 0.2500  5 Fe 2.35-2.55, 2 B 2.48
Fe 0.5898 0.8903 0.7500  2 B 2.16, 5 Fe 2.39-2.41
Fe 0.6130 0.3870 0.0742  6 Fe 2.39-2.52, 2 B 2.46
Fe 0.6130 0.3870 0.4258  6 Fe 2.39-2.52, 2 B 2.46
Fe 0.7573 0.5332 0.7500  5 Fe 2.35-2.55, 2 B 2.48
Fe 0.7737 0.7737 0.0000  2 B 2.33, 8 Fe 2.41-2.53
Fe 0.7737 0.7737 0.5000  2 B 2.33, 8 Fe 2.41-2.53
Fe 0.8294 0.1706 0.5927  2 B 2.27, 6 Fe 2.39-2.53
Fe 0.8294 0.1706 0.9073  2 B 2.27, 6 Fe 2.39-2.53
Fe 0.8903 0.5898 0.2500  2 B 2.16, 5 Fe 2.39-2.41
B 0.0000 0.5000 0.0000  6 Fe 2.16-2.33
B 0.0000 0.5000 0.5000  6 Fe 2.16-2.33
B 0.5000 0.0000 0.0000  6 Fe 2.16-2.33
B 0.5000 0.0000 0.5000  6 Fe 2.16-2.33

[2]
This record from the Alexandria database describes an optimized crystal structure of La6Tl5Rh. The functional is PBE-GGA.

Summary:
Energy of formation   -42.9 kJ per mole of atoms

Cell lengths 9.3408, 9.3408, 5.2481 Å; angles 106.07, 106.07, 55.28 degrees
Closest atoms and distances in Å follow each position.
Positions (direct):
La 0.0738 0.6174 0.3459  1 Rh 3.13, 4 Tl 3.33-3.39
La 0.2108 0.7892 0.0000  2 Rh 3.20, 4 Tl 3.50-3.51, 2 La 3.57
La 0.3826 0.9262 0.6541  1 Rh 3.13, 4 Tl 3.33-3.39
La 0.6174 0.0738 0.3459  1 Rh 3.13, 4 Tl 3.33-3.39
La 0.7892 0.2108 0.0000  2 Rh 3.20, 4 Tl 3.50-3.51, 2 La 3.57
La 0.9262 0.3826 0.6541  1 Rh 3.13, 4 Tl 3.33-3.39
Tl 0.1907 0.1907 0.1903  8 La 3.33-3.51, 2 Tl 3.55-3.58
Tl 0.3443 0.3443 0.8447  8 La 3.50-3.58, 4 Tl 3.55-3.60
Tl 0.5000 0.5000 0.5000  8 La 3.38-3.63, 4 Tl 3.58-3.60
Tl 0.6557 0.6557 0.1553  8 La 3.50-3.58, 4 Tl 3.55-3.60
Tl 0.8093 0.8093 0.8097  8 La 3.33-3.51, 2 Tl 3.55-3.58
Rh 0.0000 0.0000 0.5000  8 La 3.13-3.20

[3]
This record from the Alexandria database describes an optimized crystal structure of Mg2Cu3Se2. The functional is PBE-GGA.

Summary:
Raw formation energy   -167 meV/atom

Cell lengths 6.7229, 6.7229, 12.2040 Å; angles 119.23, 119.23, 32.27 degrees
Closest atoms and distances in Å follow each position.
Positions (direct):
Mg 0.0700 0.0700 0.1438  2 Se 2.70, 2 Cu 2.71-2.96
Mg 0.1846 0.1846 0.7913  4 Cu 2.73-3.02, 4 Se 2.80-2.83
Mg 0.8154 0.8154 0.2087  4 Cu 2.73-3.02, 4 Se 2.80-2.83
Mg 0.9300 0.9300 0.8562  2 Se 2.70, 2 Cu 2.71-2.96
Cu 0.0623 0.0623 0.4434  4 Cu 2.60-2.70, 4 Se 2.66-2.83
Cu 0.1955 0.1955 0.0206  2 Cu 2.54, 4 Mg 2.71-2.75
Cu 0.3018 0.3018 0.5844  4 Se 2.43-2.56, 5 Cu 2.59-2.70
Cu 0.6982 0.6982 0.4156  4 Se 2.43-2.56, 5 Cu 2.59-2.70
Cu 0.8045 0.8045 0.9794  2 Cu 2.54, 4 Mg 2.71-2.75
Cu 0.9377 0.9377 0.5566  4 Cu 2.60-2.70, 4 Se 2.66-2.83
Se 0.3154 0.3154 0.3829  5 Cu 2.55-2.66, 2 Mg 2.83
Se 0.4907 0.4907 0.2430  1 Cu 2.43, 2 Mg 2.70
Se 0.5093 0.5093 0.7570  1 Cu 2.43, 2 Mg 2.70
Se 0.6846 0.6846 0.6171  5 Cu 2.55-2.66, 2 Mg 2.83

[4]
This record from the Alexandria database describes an optimized crystal structure of TbPrSm4S8. The functional is PBE-GGA.

Summary:
Raw formation energy   -1919 meV/atom

Cell lengths 8.2287, 8.2287, 8.2287 Å; angles 60.21, 60.21, 60.21 degrees
Closest atoms and distances in Å follow each position.
Positions (direct):
Tb 0.0000 0.0000 0.0000  6 S 2.77-2.78
Pr 0.3760 0.3760 0.3760  4 S 2.71-2.73
Sm 0.9998 0.9998 0.5020  6 S 2.82-2.83
Sm 0.9998 0.5020 0.9998  6 S 2.82-2.83
Sm 0.5020 0.9998 0.9998  6 S 2.82-2.83
Sm 0.6246 0.6246 0.6246  4 S 2.66-2.68
S 0.2263 0.7612 0.7612  3 Sm 2.68-2.83, 1 Tb 2.78
S 0.2374 0.2374 0.7813  1 Pr 2.73, 1 Tb 2.77, 2 Sm 2.82
S 0.2374 0.7813 0.2374  1 Pr 2.73, 1 Tb 2.77, 2 Sm 2.82
S 0.2411 0.2411 0.2411  1 Pr 2.71, 3 Sm 2.82
S 0.7570 0.7570 0.7570  4 Sm 2.66-2.83
S 0.7612 0.2263 0.7612  3 Sm 2.68-2.83, 1 Tb 2.78
S 0.7612 0.7612 0.2263  3 Sm 2.68-2.83, 1 Tb 2.78
S 0.7813 0.2374 0.2374  1 Pr 2.73, 1 Tb 2.77, 2 Sm 2.82

Number 1: DOS at the Fermi energy 23.961 states/eV/cell. Number 2: DOS at the Fermi energy 9.995 states/eV/cell. Number 3: DOS at the Fermi energy 2.853 states/eV/cell. Number 4: DOS at the Fermi energy 8.245 states/eV/cell.